No. 1
VASP calculation (meta-GGA SCAN) on LiBe2Hg at its PBEsol-relaxed geometry.

extended XYZ file:
```
4
Lattice="3.432 0.000 0.000 0.000 3.778 0.000 0.000 0.000 3.787" Properties=species:S:1:pos:R:3 pbc="T T T"
Li 0.000 0.000 0.000
Be 0.000 1.889 1.894
Be 1.716 1.889 0.000
Hg 1.716 0.000 1.894
```

Its theoretical density is 7.63 Mg/m³. The value obtained for the energy of formation is 0.099 eV per atom. As for the space group: Pmmm. The calculation puts the total moment at 0.014 Bohr magnetons per cell.

No. 2
VASP calculation (meta-GGA SCAN) on LiBe4Hg at its PBEsol-relaxed geometry.

extended XYZ file:
```
6
Lattice="0.000 3.156 3.156 3.156 0.000 3.156 3.156 3.156 0.000" Properties=species:S:1:pos:R:3 pbc="T T T"
Li 0.000 0.000 0.000
Be 2.367 2.367 2.367
Be 3.945 3.945 2.367
Be 3.945 2.367 3.945
Be 2.367 3.945 3.945
Hg 4.734 4.734 4.734
```

Its theoretical density is 6.44 Mg/m³. The value obtained for the energy of formation is -0.060 eV per atom. As for the space group: F-43m. The calculation puts the total moment at 0.000 Bohr magnetons per cell.

No. 3
VASP calculation (meta-GGA SCAN) on LiBe2Hg at its PBEsol-relaxed geometry.

extended XYZ file:
```
8
Lattice="-2.054 2.054 8.414 2.054 -2.054 8.414 2.054 2.054 -8.414" Properties=species:S:1:pos:R:3 pbc="T T T"
Li 2.054 1.027 2.104
Li 0.000 1.027 6.311
Be 0.000 0.000 0.000
Be 1.027 1.027 -4.207
Be 1.027 -1.027 4.207
Be 0.000 2.054 0.000
Hg 2.054 -1.027 6.311
Hg 0.000 3.082 2.104
```

Its theoretical density is 5.27 Mg/m³. The value obtained for the energy of formation is 0.329 eV per atom. As for the space group: I4_1/amd. The calculation puts the total moment at 0.000 Bohr magnetons per cell.

No. 4
VASP calculation (meta-GGA SCAN) on LiBe2HgO at its PBEsol-relaxed geometry.

extended XYZ file:
```
5
Lattice="4.102 0.000 0.000 0.000 4.102 0.000 0.000 0.000 4.427" Properties=species:S:1:pos:R:3 pbc="T T T"
Li 0.000 0.000 0.000
Be 0.000 2.051 0.000
Be 2.051 0.000 0.000
Hg 0.000 0.000 2.213
O 2.051 2.051 2.213
```

The uncorrected formation energy comes out at 1.237 eV per atom. Its theoretical density is 5.38 Mg/m³. As for the space group: P4/mmm. The calculation puts the total moment at 1.727 Bohr magnetons per cell.

No. 5
VASP calculation (meta-GGA SCAN) on Mg2BeHg at its PBEsol-relaxed geometry.

extended XYZ file:
```
4
Lattice="3.111 0.000 0.000 0.000 3.111 0.000 0.000 0.000 7.248" Properties=species:S:1:pos:R:3 pbc="T T T"
Mg 0.000 0.000 1.568
Mg 0.000 0.000 5.680
Be 1.555 1.555 0.000
Hg 1.555 1.555 3.624
```

Its theoretical density is 6.11 Mg/m³. The value obtained for the energy of formation is 0.054 eV per atom. As for the space group: P4/mmm. The calculation puts the total moment at 0.000 Bohr magnetons per cell.

No. 6
VASP calculation (meta-GGA SCAN) on Mg2BeHg2 at its PBEsol-relaxed geometry.

extended XYZ file:
```
5
Lattice="-1.978 1.978 7.209 1.978 -1.978 7.209 1.978 1.978 -7.209" Properties=species:S:1:pos:R:3 pbc="T T T"
Mg 0.000 0.000 1.394
Mg 0.000 0.000 13.025
Be 0.000 0.000 7.209
Hg 1.978 0.000 3.605
Hg 0.000 1.978 3.605
```

Its theoretical density is 6.75 Mg/m³. The value obtained for the energy of formation is 0.407 eV per atom. As for the space group: I4/mmm. The calculation puts the total moment at 0.000 Bohr magnetons per cell.

No. 7
VASP calculation (meta-GGA SCAN) on MgBeHg2Ru at its PBEsol-relaxed geometry.

extended XYZ file:
```
5
Lattice="4.900 0.000 0.000 0.000 4.900 0.000 0.000 0.000 4.637" Properties=species:S:1:pos:R:3 pbc="T T T"
Mg 0.000 0.000 0.000
Be 2.450 2.450 2.318
Hg 0.000 2.450 0.000
Hg 2.450 0.000 0.000
Ru 0.000 0.000 2.318
```

Its theoretical density is 7.99 Mg/m³. The value obtained for the energy of formation is 1.390 eV per atom. As for the space group: P4/mmm. The calculation puts the total moment at 1.871 Bohr magnetons per cell.

No. 8
VASP calculation (meta-GGA SCAN) on Be2HgMo at its PBEsol-relaxed geometry.

extended XYZ file:
```
4
Lattice="-1.436 2.355 4.092 1.436 -2.355 4.092 1.436 2.355 -4.092" Properties=species:S:1:pos:R:3 pbc="T T T"
Be 0.000 0.000 2.048
Be 0.000 0.000 6.135
Hg 0.000 2.355 0.000
Mo 1.436 0.000 0.000
```

Its theoretical density is 9.44 Mg/m³. The value obtained for the energy of formation is 0.537 eV per atom. As for the space group: Immm. The calculation puts the total moment at 0.002 Bohr magnetons per cell.

No. 9
VASP calculation (meta-GGA SCAN) on Be2HgMo at its PBEsol-relaxed geometry.

extended XYZ file:
```
4
Lattice="0.000 3.042 3.042 3.042 0.000 3.042 3.042 3.042 0.000" Properties=species:S:1:pos:R:3 pbc="T T T"
Be 0.000 0.000 0.000
Be 1.521 1.521 1.521
Hg 3.042 3.042 3.042
Mo 4.564 4.564 4.564
```

Its theoretical density is 9.27 Mg/m³. The value obtained for the energy of formation is 0.683 eV per atom. As for the space group: F-43m. The calculation puts the total moment at 1.862 Bohr magnetons per cell.

No. 10
VASP calculation (meta-GGA SCAN) on BeHgMo2 at its PBEsol-relaxed geometry.

extended XYZ file:
```
4
Lattice="3.449 0.000 0.000 0.000 3.924 0.000 0.000 0.000 4.387" Properties=species:S:1:pos:R:3 pbc="T T T"
Be 0.000 0.000 0.000
Hg 1.725 1.962 0.000
Mo 0.000 1.962 2.193
Mo 1.725 0.000 2.193
```

Its theoretical density is 11.23 Mg/m³. The value obtained for the energy of formation is 0.348 eV per atom. As for the space group: Pmmm. The calculation puts the total moment at 0.000 Bohr magnetons per cell.

No. 11
VASP calculation (meta-GGA SCAN) on BeHgMoOs2 at its PBEsol-relaxed geometry.

extended XYZ file:
```
5
Lattice="4.643 0.000 0.000 0.000 4.643 0.000 0.000 0.000 4.302" Properties=species:S:1:pos:R:3 pbc="T T T"
Be 0.000 0.000 0.000
Hg 2.321 2.321 0.000
Mo 0.000 0.000 2.151
Os 0.000 2.321 2.151
Os 2.321 0.000 2.151
```

Its theoretical density is 12.29 Mg/m³. The value obtained for the energy of formation is 1.859 eV per atom. As for the space group: P4/mmm. The calculation puts the total moment at 0.640 Bohr magnetons per cell.

No. 12
VASP calculation (meta-GGA SCAN) on Be2HgN at its PBEsol-relaxed geometry.

extended XYZ file:
```
8
Lattice="-2.578 2.578 3.654 2.578 -2.578 3.654 2.578 2.578 -3.654" Properties=species:S:1:pos:R:3 pbc="T T T"
Be 0.422 1.289 0.914
Be -1.289 2.156 2.741
Be -0.422 3.867 0.914
Be 1.289 3.000 2.741
Hg 2.578 0.000 1.827
Hg 0.000 0.000 3.654
N 0.000 0.000 0.000
N 0.000 2.578 1.827
```

The uncorrected formation energy comes out at -0.418 eV per atom. Its theoretical density is 7.95 Mg/m³. As for the space group: I-42d. The calculation puts the total moment at 0.000 Bohr magnetons per cell. The calculation puts the excess energy over the best structure of this formula in the dataset at 0.0 meV per atom.

No. 13
VASP calculation (meta-GGA SCAN) on Be2HgN at its PBEsol-relaxed geometry.

extended XYZ file:
```
4
Lattice="0.000 2.836 2.836 2.836 0.000 2.836 2.836 2.836 0.000" Properties=species:S:1:pos:R:3 pbc="T T T"
Be 1.418 1.418 1.418
Be 4.254 4.254 4.254
Hg 0.000 0.000 0.000
N 2.836 2.836 2.836
```

The uncorrected formation energy comes out at 1.086 eV per atom. Its theoretical density is 8.47 Mg/m³. As for the space group: Fm-3m. The calculation puts the total moment at 0.000 Bohr magnetons per cell. The calculation puts the excess energy over the best structure of this formula in the dataset at 1504.0 meV per atom.

No. 14
VASP calculation (meta-GGA SCAN) on BeHgPd2N at its PBEsol-relaxed geometry.

extended XYZ file:
```
5
Lattice="4.124 0.000 0.000 0.000 4.124 0.000 0.000 0.000 4.447" Properties=species:S:1:pos:R:3 pbc="T T T"
Be 0.000 0.000 0.000
Hg 0.000 0.000 2.224
Pd 0.000 2.062 0.000
Pd 2.062 0.000 0.000
N 2.062 2.062 2.224
```

The uncorrected formation energy comes out at 1.070 eV per atom. Its theoretical density is 9.58 Mg/m³. As for the space group: P4/mmm. The calculation puts the total moment at 1.927 Bohr magnetons per cell.

No. 15
VASP calculation (meta-GGA SCAN) on TaBe2HgN at its PBEsol-relaxed geometry.

extended XYZ file:
```
5
Lattice="4.780 0.000 0.000 0.000 4.780 0.000 0.000 0.000 3.903" Properties=species:S:1:pos:R:3 pbc="T T T"
Ta 0.000 0.000 0.000
Be 0.000 2.390 0.000
Be 2.390 0.000 0.000
Hg 2.390 2.390 1.951
N 0.000 0.000 1.951
```

The uncorrected formation energy comes out at 0.953 eV per atom. Its theoretical density is 7.70 Mg/m³. As for the space group: P4/mmm. The calculation puts the total moment at 0.000 Bohr magnetons per cell.